<A>
Compound: CdTeAs
Source: Alexandria via LeMat-Bulk
Functional: GGA-PBE
Structure: relaxed

Summary:
Crystal system   triclinic
Calculated density   5.6 g/cm³

```
data_CdTeAs
_cell_length_a 4.6110
_cell_length_b 4.6245
_cell_length_c 10.2963
_cell_angle_alpha 79.88
_cell_angle_beta 81.39
_cell_angle_gamma 60.68
_symmetry_space_group_name_H-M 'P -1'
_symmetry_Int_Tables_number 2
loop_
_symmetry_equiv_pos_as_xyz
'x,y,z'
'-x,-y,-z'
loop_
_atom_site_label
_atom_site_type_symbol
_atom_site_fract_x
_atom_site_fract_y
_atom_site_fract_z
Cd1 Cd 0.2297 0.2470 0.1167
Te1 Te 0.2218 0.6044 0.5955
As1 As 0.4580 0.4229 0.8356
```

<B>
Compound: CdTeAs
Source: Alexandria via LeMat-Bulk
Functional: GGA-PBE
Structure: relaxed

Summary:
Crystal system   cubic
Calculated density   6.3 g/cm³

```
data_CdTeAs
_cell_length_a 6.9294
_cell_length_b 6.9294
_cell_length_c 6.9294
_cell_angle_alpha 90.00
_cell_angle_beta 90.00
_cell_angle_gamma 90.00
_symmetry_space_group_name_H-M 'F -4 3 m'
_symmetry_Int_Tables_number 216
_symmetry_space_group_name_Hall 'F -4 2 3'
loop_
_atom_site_label
_atom_site_type_symbol
_atom_site_fract_x
_atom_site_fract_y
_atom_site_fract_z
Cd1 Cd 0.0000 0.0000 0.0000
Te1 Te 0.2500 0.2500 0.2500
As1 As 0.2500 0.2500 0.7500
```

<C>
Compound: CdTeAs
Source: Alexandria via LeMat-Bulk
Functional: GGA-PBE
Structure: relaxed

Summary:
Crystal system   tetragonal
Calculated density   6.8 g/cm³

```
data_CdTeAs
_cell_length_a 3.1281
_cell_length_b 3.1281
_cell_length_c 15.7394
_cell_angle_alpha 90.00
_cell_angle_beta 90.00
_cell_angle_gamma 90.00
_symmetry_space_group_name_H-M 'I 4 m m'
_symmetry_Int_Tables_number 107
_symmetry_space_group_name_Hall 'I 4 -2'
loop_
_atom_site_label
_atom_site_type_symbol
_atom_site_fract_x
_atom_site_fract_y
_atom_site_fract_z
Cd1 Cd 0.0000 0.0000 0.0000
Te1 Te 0.0000 0.0000 0.3310
As1 As 0.0000 0.0000 0.6253
```

<D>
Compound: CdTeAs
Source: Alexandria via LeMat-Bulk
Functional: GGA-PBE
Structure: relaxed

Summary:
Crystal system   orthorhombic
Calculated density   7.0 g/cm³

```
data_CdTeAs
_cell_length_a 3.9507
_cell_length_b 4.9413
_cell_length_c 15.3990
_cell_angle_alpha 90.00
_cell_angle_beta 90.00
_cell_angle_gamma 90.00
_symmetry_space_group_name_H-M 'F m m 2'
_symmetry_Int_Tables_number 42
_symmetry_space_group_name_Hall 'F 2 -2'
loop_
_atom_site_label
_atom_site_type_symbol
_atom_site_fract_x
_atom_site_fract_y
_atom_site_fract_z
Cd1 Cd 0.0000 0.0000 0.0000
Te1 Te 0.0000 0.0000 0.6682
As1 As 0.0000 0.0000 0.3683
```

Q: Which of them is the most stable? A: <A>.